Record 1
A relaxed structure of NbCdPdAu, computed with PBE.

Output
* ΔE to the lowest computed polymorph: 12.9 kJ per mole of atoms
* volume: 285.4 Å³/cell
* formation energy: -0.118 eV per atom
* density: 11.84 Mg/m³

abc: 6.584 6.584 6.584
angles: 90.00 90.00 90.00
Space group F-43m (No. 216)
Symmetry-distinct sites (fractional):
Nb 0.000 0.000 0.000 [4 per cell]
Cd 0.000 0.000 0.500 [4 per cell]
Pd 0.250 0.250 0.750 [4 per cell]
Au 0.250 0.250 0.250 [4 per cell]


Record 2
A relaxed structure of RbNbCdAu2, computed with PBE.

Output
* volume: 190.3 Å³/cell
* formation energy: 1.777 eV per atom
* density: 5.98 Mg/m³

abc: 5.793 5.793 5.669
angles: 90.00 90.00 90.00
Space group P4/mmm (No. 123)
Symmetry-distinct sites (fractional):
Rb 0.000 0.000 0.000 [1 per cell]
Nb 0.000 0.000 0.500 [1 per cell]
Cd 0.500 0.500 0.500 [1 per cell]
Au 0.000 0.500 0.000 [2 per cell]


Record 3
A relaxed structure of NbCdReAu2, computed with PBE.

Output
* volume: 118.4 Å³/cell
* formation energy: 2.136 eV per atom
* density: 11.02 Mg/m³

abc: 4.820 4.820 5.096
angles: 90.00 90.00 90.00
Space group P4/mmm (No. 123)
Symmetry-distinct sites (fractional):
Nb 0.000 0.000 0.000 [1 per cell]
Cd 0.000 0.000 0.500 [1 per cell]
Re 0.500 0.500 0.000 [1 per cell]
Au 0.000 0.500 0.500 [2 per cell]


Record 4
A relaxed structure of NbCdRhAu, computed with PBE.

Output
* volume: 70.3 Å³/cell
* formation energy: -0.245 eV per atom
* density: 11.94 Mg/m³

abc: 2.988 2.988 7.872
angles: 90.00 90.00 90.00
Space group P4mm (No. 99)
Symmetry-distinct sites (fractional):
Nb 0.000 0.000 0.000 [1 per cell]
Cd 0.000 0.000 0.467 [1 per cell]
Rh 0.500 0.500 0.218 [1 per cell]
Au 0.500 0.500 0.741 [1 per cell]


Record 5
A relaxed structure of NbCdAuS2, computed with PBE.

Output
* E_form (uncorrected): 951 meV/atom
* volume: 123.0 Å³/cell
* density: 6.30 Mg/m³

abc: 4.841 4.841 5.249
angles: 90.00 90.00 90.00
Space group P4/mmm (No. 123)
Symmetry-distinct sites (fractional):
Nb 0.000 0.000 0.000 [1 per cell]
Cd 0.500 0.500 0.000 [1 per cell]
Au 0.000 0.000 0.500 [1 per cell]
S 0.000 0.500 0.500 [2 per cell]


Record 6
A relaxed structure of NbCdAu2S, computed with PBE.

Output
* E_form (uncorrected): 358 meV/atom
* volume: 105.9 Å³/cell
* density: 9.90 Mg/m³

abc: 4.786 4.786 4.623
angles: 90.00 90.00 90.00
Space group P4/mmm (No. 123)
Symmetry-distinct sites (fractional):
Nb 0.000 0.000 0.000 [1 per cell]
Cd 0.500 0.500 0.000 [1 per cell]
Au 0.000 0.500 0.500 [2 per cell]
S 0.000 0.000 0.500 [1 per cell]


Record 7
A relaxed structure of NbCdSbAu2, computed with PBE.

Output
* E_form (uncorrected): 954 meV/atom
* volume: 139.9 Å³/cell
* density: 8.56 Mg/m³

abc: 5.096 5.096 5.386
angles: 90.00 90.00 90.00
Space group P4/mmm (No. 123)
Symmetry-distinct sites (fractional):
Nb 0.000 0.000 0.000 [1 per cell]
Cd 0.000 0.000 0.500 [1 per cell]
Sb 0.500 0.500 0.500 [1 per cell]
Au 0.000 0.500 0.000 [2 per cell]


Record 8
A relaxed structure of Sc2NbCdAu, computed with PBE.

Output
* volume: 136.9 Å³/cell
* formation energy: 1.008 eV per atom
* density: 5.97 Mg/m³

abc: 5.170 5.170 5.122
angles: 90.00 90.00 90.00
Space group P4/mmm (No. 123)
Symmetry-distinct sites (fractional):
Sc 0.000 0.500 0.000 [2 per cell]
Nb 0.000 0.000 0.500 [1 per cell]
Cd 0.000 0.000 0.000 [1 per cell]
Au 0.500 0.500 0.500 [1 per cell]